Record 1
K2TlVCo PBE relaxed; calculated volume = 175.9 Å³/cell; space group = P4/mmm; DFT formation energy = 0.887 eV/atom
1.0
6.3988 0.0000 0.0000
0.0000 4.2956 0.0000
0.0000 0.0000 6.3988
Tl V K Co
1 1 2 1
Direct
0.5000 0.5000 0.5000 Tl
0.0000 0.5000 0.0000 V
0.0000 0.0000 0.5000 K
0.5000 0.0000 0.0000 K
0.0000 0.0000 0.0000 Co

Record 2
KTl2ZnCo PBE relaxed; calculated volume = 127.6 Å³/cell; space group = P4/mmm; DFT formation energy = 0.076 eV/atom; offset from the most stable computed form = 0 meV per atom
1.0
5.1032 0.0000 0.0000
0.0000 5.1032 0.0000
0.0000 0.0000 4.9000
Zn Co Tl K
1 1 2 1
Direct
0.0000 0.0000 0.5000 Zn
0.0000 0.0000 0.0000 Co
0.5000 0.0000 0.0000 Tl
0.0000 0.5000 0.0000 Tl
0.5000 0.5000 0.5000 K

Record 3
KTlZn2Co PBE relaxed; calculated volume = 116.9 Å³/cell; space group = P4/mmm; DFT formation energy = 0.089 eV/atom
1.0
4.8211 0.0000 0.0000
0.0000 4.8211 0.0000
0.0000 0.0000 5.0274
Tl Co Zn K
1 1 2 1
Direct
0.0000 0.0000 0.5000 Tl
0.0000 0.0000 0.0000 Co
0.5000 0.0000 0.0000 Zn
0.0000 0.5000 0.0000 Zn
0.5000 0.5000 0.5000 K

Record 4
KTl2ZnCo PBE relaxed; calculated volume = 168.0 Å³/cell; space group = P4/mmm; DFT formation energy = 0.875 eV/atom; offset from the most stable computed form = 799 meV per atom
1.0
-0.8264 -3.3996 -3.9930
-1.3346 -4.2848 3.9242
-5.1077 1.4378 -0.1671
Tl Zn K Co
2 1 1 1
Direct
0.5000 0.0000 0.0000 Tl
0.0000 0.0000 0.5000 Tl
0.0000 0.0000 0.0000 Zn
0.0000 0.5000 0.0000 K
0.5000 0.5000 0.5000 Co